VASP calculation (PBE) on a geometry-optimized LaCd2Fe structure.

a = 5.785 Å, b = 10.165 Å, c = 3.135 Å
α = 90.00°, β = 90.00°, γ = 90.00°
Space group Cmmm (No. 65)
Asymmetric unit:
La 0.000 0.000 0.000
Cd 0.250 0.250 0.500
Fe 0.000 0.500 0.000

Values from the calculation:
Formation enthalpy at 0 K, eV/atom: 0.3143
Fermi-level density of states, states/eV/atom: 1.08
DFT total energy, eV per atom: -3.49



VASP calculation (PBE) on a geometry-optimized Sr2GdH structure.

a = 3.7995 Å, b = 3.7995 Å, c = 31.0524 Å
α = 90.00°, β = 90.00°, γ = 120.00°
Space group R-3m (No. 166, hexagonal axes)
Asymmetric unit:
Sr 0.0000 0.0000 0.1148
Gd 0.0000 0.0000 0.0000
H 0.0000 0.0000 0.5000

Values from the calculation:
Fermi-level density of states, states/eV/atom: 1.72
DFT total energy, eV per atom: -5.06